(1)
! CdP2H8O10 | Alexandria | SCAN | PBEsol geometry; values from VASP
&SYSTEM
  ibrav = 0, nat = 42, ntyp = 4
/
ATOMIC_SPECIES
O 16.00 O.upf
P 30.97 P.upf
H 1.01 H.upf
Cd 112.41 Cd.upf
CELL_PARAMETERS angstrom
-2.561 -3.519 3.000
3.795 -5.136 -3.114
7.361 0.951 7.401
ATOMIC_POSITIONS angstrom
O -0.679 -3.720 1.633
O 3.068 -5.709 3.062
P 2.217 -5.862 1.801
O 2.483 -7.191 1.089
H 6.381 -2.913 8.079
O 2.935 -2.726 2.220
H 6.666 -4.095 2.113
O 7.798 -6.109 5.832
Cd 4.297 -3.852 3.644
O 5.704 -4.115 1.799
O 2.891 -3.590 5.489
O 7.904 -1.895 5.174
P 6.378 -1.842 5.486
H 2.973 -4.362 6.162
O 0.349 -3.757 4.825
H 5.902 -3.952 5.999
O 0.796 -1.595 1.455
H 1.929 -3.609 5.174
Cd 0.000 0.000 0.000
H 5.568 -5.450 1.121
O 6.112 -0.513 6.198
O 5.527 -1.995 4.225
H 2.693 -3.752 1.288
O 6.876 -6.435 3.464
H -0.260 -2.914 4.571
P 6.540 -6.229 4.971
P 2.055 -1.475 2.316
O 2.557 -4.691 0.793
O 1.718 -1.269 3.824
H 0.161 -4.929 1.937
H 2.214 -4.792 -0.792
O 5.660 -4.979 5.067
H 8.855 -4.790 2.716
O 6.037 -3.014 6.494
H 5.621 -3.342 1.126
H 3.027 -2.254 6.166
O 9.274 -3.984 5.654
O 0.690 -5.809 2.113
H 8.433 -2.775 5.350
O 8.246 -3.947 2.462
H -0.111 -2.863 1.614
H 8.706 -4.841 5.673
! - Fermi-level density of states: 0.00 states/eV/f.u.
! - Total moment: 0.00 Bohr magnetons per cell
! - Crystal system: monoclinic
! - Uncorrected energy: -349.0 eV/cell


(2)
! FeAgMo3 | Alexandria | SCAN | PBEsol geometry; values from VASP
&SYSTEM
  ibrav = 0, nat = 5, ntyp = 3
/
ATOMIC_SPECIES
Fe 55.84 Fe.upf
Mo 95.94 Mo.upf
Ag 107.87 Ag.upf
CELL_PARAMETERS angstrom
4.683 0.000 0.000
0.000 4.683 0.000
0.000 0.000 4.683
ATOMIC_POSITIONS angstrom
Fe 2.341 2.341 2.341
Mo 0.000 0.000 2.341
Mo 0.000 2.341 0.000
Ag 0.000 0.000 0.000
Mo 2.341 0.000 0.000
! - Fermi-level density of states: 6.33 states/eV/f.u.
! - Total moment: 3.59 Bohr magnetons per cell
! - Energy of formation: 13.886 eV/f.u.
! - Crystal system: cubic
! - Uncorrected energy: -140.3 eV/cell


(3)
! La2ZrAs | Alexandria | SCAN | PBEsol geometry; values from VASP
&SYSTEM
  ibrav = 0, nat = 4, ntyp = 3
/
ATOMIC_SPECIES
La 138.91 La.upf
As 74.92 As.upf
Zr 91.22 Zr.upf
CELL_PARAMETERS angstrom
-0.878 3.811 3.322
-4.626 0.503 2.163
-0.628 -1.037 4.986
ATOMIC_POSITIONS angstrom
La -4.599 2.458 7.853
As -3.066 1.639 5.235
Zr -1.533 0.819 2.618
La 0.000 0.000 0.000
! - Fermi-level density of states: 2.70 states/eV/f.u.
! - Total moment: 3.03 Bohr magnetons per cell
! - Energy of formation: -0.904 eV/f.u.
! - Crystal system: cubic
! - Uncorrected energy: -138.0 eV/cell


(4)
! CoAg2W | Alexandria | SCAN | PBEsol geometry; values from VASP
&SYSTEM
  ibrav = 0, nat = 4, ntyp = 3
/
ATOMIC_SPECIES
Co 58.93 Co.upf
Ag 107.87 Ag.upf
W 183.84 W.upf
CELL_PARAMETERS angstrom
-1.594 1.846 -0.992
-2.507 -3.552 -2.580
-1.574 1.147 4.666
ATOMIC_POSITIONS angstrom
Co -0.797 0.923 -0.496
Ag -0.787 0.574 2.333
Ag -1.254 -1.776 -1.290
W -2.838 -0.279 0.547
! - Fermi-level density of states: 3.70 states/eV/f.u.
! - Total moment: 2.02 Bohr magnetons per cell
! - E above lowest polymorph: 0.71 eV per formula unit
! - Energy of formation: 3.050 eV/f.u.
! - Crystal system: orthorhombic
! - Uncorrected energy: -146.7 eV/cell


(5)
! ZrPt2Cl | Alexandria | SCAN | PBEsol geometry; values from VASP
&SYSTEM
  ibrav = 0, nat = 4, ntyp = 3
/
ATOMIC_SPECIES
Pt 195.08 Pt.upf
Cl 35.45 Cl.upf
Zr 91.22 Zr.upf
CELL_PARAMETERS angstrom
2.926 0.000 0.000
0.000 4.549 0.000
-1.463 -2.274 5.013
ATOMIC_POSITIONS angstrom
Pt 0.000 0.000 2.418
Cl 0.000 2.274 0.000
Pt 1.463 2.274 2.595
Zr 1.463 0.000 0.000
! - Fermi-level density of states: 1.58 states/eV/f.u.
! - Total moment: 0.00 Bohr magnetons per cell
! - E above lowest polymorph: 0.00 eV per formula unit
! - E_form (uncorrected): -702 meV/atom
! - Crystal system: orthorhombic
! - Uncorrected energy: -181.9 eV/cell


(6)
! MgHgRh | Alexandria | SCAN | PBEsol geometry; values from VASP
&SYSTEM
  ibrav = 0, nat = 3, ntyp = 3
/
ATOMIC_SPECIES
Rh 102.91 Rh.upf
Mg 24.30 Mg.upf
Hg 200.59 Hg.upf
CELL_PARAMETERS angstrom
-0.022 -2.421 -2.102
2.651 1.169 -1.374
1.435 -2.038 4.778
ATOMIC_POSITIONS angstrom
Rh 2.289 -1.570 -0.662
Mg 1.748 -1.694 1.932
Hg 0.028 -0.027 0.031
! - Fermi-level density of states: 0.91 states/eV/f.u.
! - Total moment: 0.00 Bohr magnetons per cell
! - Energy of formation: -0.882 eV/f.u.
! - Crystal system: tetragonal
! - Uncorrected energy: -107.8 eV/cell